Here is a geometry-optimized Y2IrOs structure from Alexandria via LeMat-Bulk. Energies are from PBE-GGA.

Symmetry: No. 35
N(E_F) in states/eV/atom: 1.07
Calculated formation energy in meV/atom: 85
Calculated total energy in eV per atom: -8.169

Unit cell a=4.552 b=4.567 c=8.562 alpha=90.00 beta=90.00 gamma=90.00
Atoms (fractional coordinates):
Y1 0.000 0.000 0.000
Y2 0.000 0.500 0.374
Y3 0.500 0.000 0.374
Y4 0.500 0.500 0.000
Ir1 0.000 0.000 0.611
Ir2 0.500 0.500 0.611
Os1 0.000 0.500 0.765
Os2 0.500 0.000 0.765

Here is a geometry-optimized YIrOs3 structure from Alexandria via LeMat-Bulk. Energies are from PBE-GGA.

Symmetry: No. 221
N(E_F) in states/eV/atom: 1.56
Calculated formation energy in meV/atom: 1444
Calculated total energy in eV per atom: -8.359
Energy relative to the lowest polymorph listed for this composition in meV/atom: 0

Unit cell a=4.748 b=4.748 c=4.748 alpha=90.00 beta=90.00 gamma=90.00
Atoms (fractional coordinates):
Y1 0.000 0.000 0.000
Ir1 0.500 0.500 0.500
Os1 0.000 0.500 0.500
Os2 0.500 0.000 0.500
Os3 0.500 0.500 0.000

Here is a geometry-optimized YIrOs2 structure from Alexandria via LeMat-Bulk. Energies are from PBE-GGA.

Symmetry: No. 166
N(E_F) in states/eV/atom: 1.31
Calculated formation energy in meV/atom: 504
Calculated total energy in eV per atom: -8.942
Energy relative to the lowest polymorph listed for this composition in meV/atom: 456

Unit cell a=2.803 b=2.803 c=29.183 alpha=90.00 beta=90.00 gamma=120.00
Atoms (fractional coordinates):
Y1 0.000 0.000 0.000
Y2 0.333 0.667 0.667
Y3 0.667 0.333 0.333
Ir1 0.000 0.000 0.500
Ir2 0.333 0.667 0.167
Ir3 0.667 0.333 0.833
Os1 0.000 0.000 0.242
Os2 0.000 0.000 0.758
Os3 0.333 0.667 0.425
Os4 0.333 0.667 0.908
Os5 0.667 0.333 0.092
Os6 0.667 0.333 0.575

Here is a geometry-optimized YIrOs2 structure from Alexandria via LeMat-Bulk. Energies are from PBE-GGA.

Symmetry: No. 225
N(E_F) in states/eV/atom: 1.42
Calculated formation energy in meV/atom: 526
Calculated total energy in eV per atom: -8.920
Energy relative to the lowest polymorph listed for this composition in meV/atom: 478

Unit cell a=6.473 b=6.473 c=6.473 alpha=90.00 beta=90.00 gamma=90.00
Atoms (fractional coordinates):
Y1 0.000 0.000 0.000
Y2 0.000 0.500 0.500
Y3 0.500 0.000 0.500
Y4 0.500 0.500 0.000
Ir1 0.000 0.000 0.500
Ir2 0.000 0.500 0.000
Ir3 0.500 0.000 0.000
Ir4 0.500 0.500 0.500
Os1 0.250 0.250 0.250
Os2 0.250 0.250 0.750
Os3 0.250 0.750 0.250
Os4 0.250 0.750 0.750
Os5 0.750 0.250 0.250
Os6 0.750 0.250 0.750
Os7 0.750 0.750 0.250
Os8 0.750 0.750 0.750

Here is a geometry-optimized YIrOs structure from Alexandria via LeMat-Bulk. Energies are from PBE-GGA.

Symmetry: No. 216
N(E_F) in states/eV/atom: 0.84
Calculated formation energy in meV/atom: 326
Calculated total energy in eV per atom: -8.525
Energy relative to the lowest polymorph listed for this composition in meV/atom: 877

Unit cell a=6.303 b=6.303 c=6.303 alpha=90.00 beta=90.00 gamma=90.00
Atoms (fractional coordinates):
Y1 0.000 0.000 0.000
Y2 0.000 0.500 0.500
Y3 0.500 0.000 0.500
Y4 0.500 0.500 0.000
Ir1 0.000 0.000 0.500
Ir2 0.000 0.500 0.000
Ir3 0.500 0.000 0.000
Ir4 0.500 0.500 0.500
Os1 0.250 0.250 0.750
Os2 0.250 0.750 0.250
Os3 0.750 0.250 0.250
Os4 0.750 0.750 0.750

Here is a geometry-optimized YIrOs2 structure from Alexandria via LeMat-Bulk. Energies are from PBE-GGA.

Symmetry: No. 8
N(E_F) in states/eV/atom: 1.03
Calculated formation energy in meV/atom: 136
Calculated total energy in eV per atom: -9.311
Energy relative to the lowest polymorph listed for this composition in meV/atom: 88

Unit cell a=9.416 b=2.885 c=5.152 alpha=90.00 beta=100.97 gamma=90.00
Atoms (fractional coordinates):
Y1 0.000 0.000 0.000
Y2 0.500 0.500 0.000
Ir1 0.240 0.000 0.739
Ir2 0.740 0.500 0.739
Os1 0.263 0.500 0.328
Os2 0.499 0.000 0.484
Os3 0.763 0.000 0.328
Os4 0.999 0.500 0.484